# 1
# SiPtOF2 PBE-GGA relaxed
# Density   6.14 g/cm³
# Size of the total moment   0.00 μB/f.u.
# E_tot   -20.6 eV/cell
# Offset from the most stable computed form   0.728 eV per atom
data_SiPtOF2
_chemical_formula_sum 'Si1 Pt1 O1 F2'
_cell_length_a 4.568
_cell_length_b 4.568
_cell_length_c 3.595
_cell_angle_alpha 90.00
_cell_angle_beta 90.00
_cell_angle_gamma 90.00
_symmetry_space_group_name_H-M 'P 4/m m m'
_symmetry_Int_Tables_number 123
_symmetry_space_group_name_Hall '-P 4 2'
loop_
_atom_site_label
_atom_site_fract_x
_atom_site_fract_y
_atom_site_fract_z
Si1 0.000 0.000 0.000
Pt1 0.500 0.500 0.000
O1 0.500 0.500 0.500
F1 0.000 0.500 0.500

=====

# 2
# Sm2PtO4F PBE-GGA relaxed
# Density   9.29 g/cm³
# Size of the total moment   0.00 μB/f.u.
# E_tot   -114.1 eV/cell
data_Sm2PtO4F
_chemical_formula_sum 'Sm4 Pt2 O8 F2'
_cell_length_a 9.660
_cell_length_b 3.543
_cell_length_c 6.517
_cell_angle_alpha 90.00
_cell_angle_beta 111.87
_cell_angle_gamma 90.00
_symmetry_space_group_name_H-M 'C 1 2/m 1'
_symmetry_Int_Tables_number 12
loop_
_symmetry_equiv_pos_as_xyz
'x,y,z'
'-x,-y,-z'
'-x,y,-z'
'x,-y,z'
'x+1/2,y+1/2,z'
'-x+1/2,-y+1/2,-z'
'-x+1/2,y+1/2,-z'
'x+1/2,-y+1/2,z'
loop_
_atom_site_label
_atom_site_fract_x
_atom_site_fract_y
_atom_site_fract_z
Sm1 0.185 0.000 0.207
Pt1 0.000 0.000 0.500
O1 0.120 0.500 0.446
O2 0.164 0.000 0.817
F1 0.000 0.500 0.000

=====

# 3
# SnPtOF2 PBE-GGA relaxed
# Density   7.76 g/cm³
# Size of the total moment   0.00 μB/f.u.
# E_tot   -22.3 eV/cell
# Offset from the most stable computed form   0.000 eV per atom
data_SnPtOF2
_chemical_formula_sum 'Sn1 Pt1 O1 F2'
_cell_length_a 4.412
_cell_length_b 4.412
_cell_length_c 4.042
_cell_angle_alpha 90.00
_cell_angle_beta 90.00
_cell_angle_gamma 90.00
_symmetry_space_group_name_H-M 'P 4/m m m'
_symmetry_Int_Tables_number 123
_symmetry_space_group_name_Hall '-P 4 2'
loop_
_atom_site_label
_atom_site_fract_x
_atom_site_fract_y
_atom_site_fract_z
Sn1 0.000 0.000 0.000
Pt1 0.500 0.500 0.500
O1 0.500 0.500 0.000
F1 0.000 0.500 0.500

=====

# 4
# SnPtO2F PBE-GGA relaxed
# Density   8.42 g/cm³
# Size of the total moment   0.00 μB/f.u.
# E_tot   -24.6 eV/cell
data_SnPtO2F
_chemical_formula_sum 'Sn1 Pt1 O2 F1'
_cell_length_a 4.072
_cell_length_b 4.072
_cell_length_c 4.339
_cell_angle_alpha 90.00
_cell_angle_beta 90.00
_cell_angle_gamma 90.00
_symmetry_space_group_name_H-M 'P 4/m m m'
_symmetry_Int_Tables_number 123
_symmetry_space_group_name_Hall '-P 4 2'
loop_
_atom_site_label
_atom_site_fract_x
_atom_site_fract_y
_atom_site_fract_z
Sn1 0.000 0.000 0.000
Pt1 0.500 0.500 0.500
O1 0.000 0.500 0.500
F1 0.500 0.500 0.000

=====

# 5
# SnPtO2F PBE-GGA relaxed
# Density   8.83 g/cm³
# Size of the total moment   1.13 μB/f.u.
# E_tot   -24.3 eV/cell
data_SnPtO2F
_chemical_formula_sum 'Sn1 Pt1 O2 F1'
_cell_length_a 4.074
_cell_length_b 4.074
_cell_length_c 4.131
_cell_angle_alpha 90.00
_cell_angle_beta 90.00
_cell_angle_gamma 90.00
_symmetry_space_group_name_H-M 'P 4/m m m'
_symmetry_Int_Tables_number 123
_symmetry_space_group_name_Hall '-P 4 2'
loop_
_atom_site_label
_atom_site_fract_x
_atom_site_fract_y
_atom_site_fract_z
Sn1 0.000 0.000 0.000
Pt1 0.500 0.500 0.500
O1 0.000 0.500 0.000
F1 0.000 0.000 0.500

=====

# 6
# SnPtOF2 PBE-GGA relaxed
# Density   8.14 g/cm³
# Size of the total moment   0.46 μB/f.u.
# E_tot   -22.2 eV/cell
# Offset from the most stable computed form   0.032 eV per atom
data_SnPtOF2
_chemical_formula_sum 'Sn1 Pt1 O1 F2'
_cell_length_a 4.297
_cell_length_b 4.297
_cell_length_c 4.067
_cell_angle_alpha 90.00
_cell_angle_beta 90.00
_cell_angle_gamma 90.00
_symmetry_space_group_name_H-M 'P 4/m m m'
_symmetry_Int_Tables_number 123
_symmetry_space_group_name_Hall '-P 4 2'
loop_
_atom_site_label
_atom_site_fract_x
_atom_site_fract_y
_atom_site_fract_z
Sn1 0.000 0.000 0.000
Pt1 0.500 0.500 0.500
O1 0.000 0.000 0.500
F1 0.000 0.500 0.000

=====

# 7
# SrPtO2F PBE-GGA relaxed
# Density   5.63 g/cm³
# Size of the total moment   3.01 μB/f.u.
# E_tot   -20.7 eV/cell
data_SrPtO2F
_chemical_formula_sum 'Sr1 Pt1 O2 F1'
_cell_length_a 4.697
_cell_length_b 4.697
_cell_length_c 4.464
_cell_angle_alpha 90.00
_cell_angle_beta 90.00
_cell_angle_gamma 90.00
_symmetry_space_group_name_H-M 'P 4/m m m'
_symmetry_Int_Tables_number 123
_symmetry_space_group_name_Hall '-P 4 2'
loop_
_atom_site_label
_atom_site_fract_x
_atom_site_fract_y
_atom_site_fract_z
Sr1 0.000 0.000 0.000
Pt1 0.500 0.500 0.500
O1 0.000 0.500 0.000
F1 0.000 0.000 0.500

=====

# 8
# SrPtO2F PBE-GGA relaxed
# Density   7.61 g/cm³
# Size of the total moment   0.04 μB/f.u.
# E_tot   -27.0 eV/cell
data_SrPtO2F
_chemical_formula_sum 'Sr1 Pt1 O2 F1'
_cell_length_a 4.070
_cell_length_b 4.070
_cell_length_c 4.395
_cell_angle_alpha 90.00
_cell_angle_beta 90.00
_cell_angle_gamma 90.00
_symmetry_space_group_name_H-M 'P 4/m m m'
_symmetry_Int_Tables_number 123
_symmetry_space_group_name_Hall '-P 4 2'
loop_
_atom_site_label
_atom_site_fract_x
_atom_site_fract_y
_atom_site_fract_z
Sr1 0.000 0.000 0.000
Pt1 0.500 0.500 0.500
O1 0.000 0.500 0.500
F1 0.500 0.500 0.000